Entry 1:
NbCoSiHg | PBE | optimized geometry Values from VASP.

Computed properties:
Its symmetry is F-43m. The offset from the most stable computed form comes out at 0.000 eV per atom. Its total energy is -5.416 eV per atom.

Structure (Quantum ESPRESSO input):
```
&SYSTEM
  ibrav = 0, nat = 4, ntyp = 4
/
ATOMIC_SPECIES
Nb 92.91 Nb.upf
Co 58.93 Co.upf
Si 28.09 Si.upf
Hg 200.59 Hg.upf
ATOMIC_POSITIONS crystal
Nb 0.000 0.000 0.000
Co 0.500 0.500 0.500
Si 0.250 0.250 0.250
Hg 0.750 0.750 0.750
CELL_PARAMETERS angstrom
0.000 3.141 3.141
3.141 0.000 3.141
3.141 3.141 0.000
```



Entry 2:
NbCoSiHg | PBE | optimized geometry Values from VASP.

Computed properties:
Its symmetry is F-43m. The offset from the most stable computed form comes out at 0.188 eV per atom. Its total energy is -5.228 eV per atom.

Structure (Quantum ESPRESSO input):
```
&SYSTEM
  ibrav = 0, nat = 4, ntyp = 4
/
ATOMIC_SPECIES
Nb 92.91 Nb.upf
Co 58.93 Co.upf
Si 28.09 Si.upf
Hg 200.59 Hg.upf
ATOMIC_POSITIONS crystal
Nb 0.000 0.000 0.000
Co 0.750 0.750 0.750
Si 0.500 0.500 0.500
Hg 0.250 0.250 0.250
CELL_PARAMETERS angstrom
0.000 3.180 3.180
3.180 0.000 3.180
3.180 3.180 0.000
```



Entry 3:
NbTlCoHg | PBE | optimized geometry Values from VASP.

Computed properties:
Its symmetry is F-43m. The offset from the most stable computed form comes out at 0.000 eV per atom. Its total energy is -4.338 eV per atom.

Structure (Quantum ESPRESSO input):
```
&SYSTEM
  ibrav = 0, nat = 4, ntyp = 4
/
ATOMIC_SPECIES
Nb 92.91 Nb.upf
Tl 204.38 Tl.upf
Co 58.93 Co.upf
Hg 200.59 Hg.upf
ATOMIC_POSITIONS crystal
Nb 0.000 0.000 0.000
Tl 0.500 0.500 0.500
Co 0.750 0.750 0.750
Hg 0.250 0.250 0.250
CELL_PARAMETERS angstrom
0.000 3.319 3.319
3.319 0.000 3.319
3.319 3.319 0.000
```



Entry 4:
NbTlCoHg | PBE | optimized geometry Values from VASP.

Computed properties:
Its symmetry is F-43m. The offset from the most stable computed form comes out at 0.003 eV per atom. Its total energy is -4.335 eV per atom.

Structure (Quantum ESPRESSO input):
```
&SYSTEM
  ibrav = 0, nat = 4, ntyp = 4
/
ATOMIC_SPECIES
Nb 92.91 Nb.upf
Tl 204.38 Tl.upf
Co 58.93 Co.upf
Hg 200.59 Hg.upf
ATOMIC_POSITIONS crystal
Nb 0.000 0.000 0.000
Tl 0.250 0.250 0.250
Co 0.500 0.500 0.500
Hg 0.750 0.750 0.750
CELL_PARAMETERS angstrom
0.000 3.305 3.305
3.305 0.000 3.305
3.305 3.305 0.000
```



Entry 5:
NbZnCoHg | PBE | optimized geometry Values from VASP.

Computed properties:
Its symmetry is F-43m. The offset from the most stable computed form comes out at 0.000 eV per atom. Its total energy is -4.408 eV per atom. For the formation energy, the calculation gives 0.2824 eV/atom.

Structure (Quantum ESPRESSO input):
```
&SYSTEM
  ibrav = 0, nat = 4, ntyp = 4
/
ATOMIC_SPECIES
Nb 92.91 Nb.upf
Zn 65.41 Zn.upf
Co 58.93 Co.upf
Hg 200.59 Hg.upf
ATOMIC_POSITIONS crystal
Nb 0.000 0.000 0.000
Zn 0.500 0.500 0.500
Co 0.750 0.750 0.750
Hg 0.250 0.250 0.250
CELL_PARAMETERS angstrom
0.000 3.182 3.182
3.182 0.000 3.182
3.182 3.182 0.000
```



Entry 6:
NbZnCoHg | PBE | optimized geometry Values from VASP.

Computed properties:
Its symmetry is F-43m. The offset from the most stable computed form comes out at 0.067 eV per atom. Its total energy is -4.342 eV per atom. For the formation energy, the calculation gives 0.3491 eV/atom.

Structure (Quantum ESPRESSO input):
```
&SYSTEM
  ibrav = 0, nat = 4, ntyp = 4
/
ATOMIC_SPECIES
Nb 92.91 Nb.upf
Zn 65.41 Zn.upf
Co 58.93 Co.upf
Hg 200.59 Hg.upf
ATOMIC_POSITIONS crystal
Nb 0.000 0.000 0.000
Zn 0.250 0.250 0.250
Co 0.500 0.500 0.500
Hg 0.750 0.750 0.750
CELL_PARAMETERS angstrom
0.000 3.165 3.165
3.165 0.000 3.165
3.165 3.165 0.000
```



Entry 7:
NdCoHg | PBE | optimized geometry Values from VASP.

Computed properties:
Its symmetry is F-43m. Its total energy is -4.057 eV per atom. For the formation energy, the calculation gives -0.0012 eV/atom.

Structure (Quantum ESPRESSO input):
```
&SYSTEM
  ibrav = 0, nat = 3, ntyp = 3
/
ATOMIC_SPECIES
Nd 144.24 Nd.upf
Co 58.93 Co.upf
Hg 200.59 Hg.upf
ATOMIC_POSITIONS crystal
Nd 0.000 0.000 0.000
Co 0.750 0.750 0.750
Hg 0.500 0.500 0.500
CELL_PARAMETERS angstrom
0.000 3.267 3.267
3.267 0.000 3.267
3.267 3.267 0.000
```



Entry 8:
NdCoHg | PBE | optimized geometry Values from VASP.

Computed properties:
Its symmetry is F-43m. Its total energy is -3.511 eV per atom. For the formation energy, the calculation gives 0.5445 eV/atom.

Structure (Quantum ESPRESSO input):
```
&SYSTEM
  ibrav = 0, nat = 3, ntyp = 3
/
ATOMIC_SPECIES
Nd 144.24 Nd.upf
Co 58.93 Co.upf
Hg 200.59 Hg.upf
ATOMIC_POSITIONS crystal
Nd 0.000 0.000 0.000
Co 0.750 0.750 0.750
Hg 0.250 0.250 0.250
CELL_PARAMETERS angstrom
0.000 3.441 3.441
3.441 0.000 3.441
3.441 3.441 0.000
```